# Sc2RhPb, relaxed, DFT PBE
data_Sc2RhPb
_symmetry_space_group_name_H-M 'I -4 m 2'
_symmetry_Int_Tables_number 119
_symmetry_space_group_name_Hall 'I -4 -2'
_cell_length_a 4.1237
_cell_length_b 4.1237
_cell_length_c 9.4920
_cell_angle_alpha 90.00
_cell_angle_beta 90.00
_cell_angle_gamma 90.00
loop_
_atom_site_label
_atom_site_type_symbol
_atom_site_fract_x
_atom_site_fract_y
_atom_site_fract_z
Sc1 Sc 0.0000 0.0000 0.0000
Sc2 Sc 0.0000 0.5000 0.2500
Rh1 Rh 0.0000 0.5000 0.7500
Pb1 Pb 0.0000 0.0000 0.5000
# - volume (Å³ per cell) = 161.4
# - energy of formation from the pure elements (eV per atom) = -0.4712
# - total DFT energy (no corrections) (eV/atom) = -6.40